No. 1
DFT (GGA-PBE) results for a relaxed structure of Te2OsW.

Values from the calculation:
offset from the most stable computed form: 747 meV/atom
density of states at the Fermi level: 0.9669 states/eV per atom
uncorrected formation energy: 431.2 kJ/mol of formula units
size of the total moment: 0.0 μB/f.u.
raw total energy: -6.499 eV per atom

Cell and atoms, written as CIF:
```
data_Te2OsW
_chemical_formula_sum 'Te4 Os2 W2'
_cell_length_a 5.564
_cell_length_b 9.171
_cell_length_c 4.230
_cell_angle_alpha 90.00
_cell_angle_beta 130.10
_cell_angle_gamma 90.00
_space_group_name_H-M_alt 'C 1 2/m 1'
_space_group_IT_number 12
loop_
_space_group_symop_operation_xyz
'x,y,z'
'-x,-y,-z'
'-x,y,-z'
'x,-y,z'
'x+1/2,y+1/2,z'
'-x+1/2,-y+1/2,-z'
'-x+1/2,y+1/2,-z'
'x+1/2,-y+1/2,z'
loop_
_atom_site_label
_atom_site_fract_x
_atom_site_fract_y
_atom_site_fract_z
Te1 0.250 0.250 0.000
Os1 0.000 0.000 0.500
W1 0.000 0.500 0.500
```


No. 2
DFT (GGA-PBE) results for a relaxed structure of TeOsW2.

Values from the calculation:
density of states at the Fermi level: 0.7476 states/eV per atom
uncorrected formation energy: 300.9 kJ/mol of formula units
size of the total moment: 0.0 μB/f.u.
raw total energy: -9.290 eV per atom

Cell and atoms, written as CIF:
```
data_TeOsW2
_chemical_formula_sum 'Te2 Os2 W4'
_cell_length_a 3.898
_cell_length_b 3.898
_cell_length_c 8.856
_cell_angle_alpha 90.00
_cell_angle_beta 90.00
_cell_angle_gamma 90.00
_space_group_name_H-M_alt 'I 4/m m m'
_space_group_IT_number 139
_space_group_name_Hall '-I 4 2'
loop_
_atom_site_label
_atom_site_fract_x
_atom_site_fract_y
_atom_site_fract_z
Te1 0.000 0.000 0.000
Os1 0.000 0.000 0.500
W1 0.000 0.500 0.250
```


No. 3
DFT (GGA-PBE) results for a relaxed structure of Te2OsW.

Values from the calculation:
offset from the most stable computed form: 463 meV/atom
density of states at the Fermi level: 0.6071 states/eV per atom
uncorrected formation energy: 321.6 kJ/mol of formula units
size of the total moment: 0.0 μB/f.u.
raw total energy: -6.783 eV per atom

Cell and atoms, written as CIF:
```
data_Te2OsW
_chemical_formula_sum 'Te8 Os4 W4'
_cell_length_a 6.657
_cell_length_b 6.657
_cell_length_c 6.657
_cell_angle_alpha 90.00
_cell_angle_beta 90.00
_cell_angle_gamma 90.00
_space_group_name_H-M_alt 'F m -3 m'
_space_group_IT_number 225
_space_group_name_Hall '-F 4 2 3'
loop_
_atom_site_label
_atom_site_fract_x
_atom_site_fract_y
_atom_site_fract_z
Te1 0.250 0.250 0.250
Os1 0.000 0.000 0.000
W1 0.000 0.000 0.500
```


No. 4
DFT (GGA-PBE) results for a relaxed structure of Te2OsW.

Values from the calculation:
offset from the most stable computed form: 15 meV/atom
density of states at the Fermi level: 0.8317 states/eV per atom
uncorrected formation energy: 148.6 kJ/mol of formula units
size of the total moment: 0.0 μB/f.u.
raw total energy: -7.232 eV per atom

Cell and atoms, written as CIF:
```
data_Te2OsW
_chemical_formula_sum 'Te2 Os1 W1'
_cell_length_a 3.060
_cell_length_b 3.060
_cell_length_c 9.402
_cell_angle_alpha 90.00
_cell_angle_beta 90.00
_cell_angle_gamma 90.00
_space_group_name_H-M_alt 'P 4 m m'
_space_group_IT_number 99
loop_
_space_group_symop_operation_xyz
'x,y,z'
'-y,x,z'
'-x,-y,z'
'y,-x,z'
'-x,y,z'
'y,x,z'
'x,-y,z'
'-y,-x,z'
loop_
_atom_site_label
_atom_site_fract_x
_atom_site_fract_y
_atom_site_fract_z
Te1 0.000 0.000 0.000
Te2 0.500 0.500 0.402
Os1 0.500 0.500 0.783
W1 0.000 0.000 0.609
```


No. 5
DFT (GGA-PBE) results for a relaxed structure of Te2OsW.

Values from the calculation:
offset from the most stable computed form: 876 meV/atom
density of states at the Fermi level: 0.9164 states/eV per atom
uncorrected formation energy: 480.8 kJ/mol of formula units
size of the total moment: 0.0 μB/f.u.
raw total energy: -6.371 eV per atom

Cell and atoms, written as CIF:
```
data_Te2OsW
_chemical_formula_sum 'Te2 Os1 W1'
_cell_length_a 3.227
_cell_length_b 4.528
_cell_length_c 5.368
_cell_angle_alpha 90.00
_cell_angle_beta 90.00
_cell_angle_gamma 90.00
_space_group_name_H-M_alt 'P m m m'
_space_group_IT_number 47
loop_
_space_group_symop_operation_xyz
'x,y,z'
'-x,-y,-z'
'-x,-y,z'
'x,y,-z'
'x,-y,-z'
'-x,y,z'
'-x,y,-z'
'x,-y,z'
loop_
_atom_site_label
_atom_site_fract_x
_atom_site_fract_y
_atom_site_fract_z
Te1 0.000 0.000 0.000
Te2 0.500 0.000 0.500
Os1 0.000 0.500 0.500
W1 0.500 0.500 0.000
```


No. 6
DFT (GGA-PBE) results for a relaxed structure of YTe2Os.

Values from the calculation:
offset from the most stable computed form: 58 meV/atom
density of states at the Fermi level: 0.6348 states/eV per atom
uncorrected formation energy: -123.4 kJ/mol of formula units
size of the total moment: 0.0 μB/f.u.
raw total energy: -6.314 eV per atom

Cell and atoms, written as CIF:
```
data_YTe2Os
_chemical_formula_sum 'Y2 Te4 Os2'
_cell_length_a 3.842
_cell_length_b 4.138
_cell_length_c 14.035
_cell_angle_alpha 90.00
_cell_angle_beta 90.00
_cell_angle_gamma 90.00
_space_group_name_H-M_alt 'A m m 2'
_space_group_IT_number 38
loop_
_space_group_symop_operation_xyz
'x,y,z'
'-x,-y,z'
'-x,y,z'
'x,-y,z'
'x,y+1/2,z+1/2'
'-x,-y+1/2,z+1/2'
'-x,y+1/2,z+1/2'
'x,-y+1/2,z+1/2'
loop_
_atom_site_label
_atom_site_fract_x
_atom_site_fract_y
_atom_site_fract_z
Y1 0.000 0.000 0.000
Te1 0.000 0.000 0.304
Te2 0.500 0.000 0.616
Os1 0.500 0.000 0.429
```